Here is LaPr2Pb7 after structural relaxation from OQMD. Energies are from PBE-GGA.

Summary:
Its final energy is -4.5129 eV/atom.

abc: 13.360 13.360 4.829
angles: 90.00 90.00 159.31
Sites, in units of the cell vectors:
La: 0.000 0.000 0.000
Pr: 0.187 0.813 0.000
Pr: 0.813 0.187 0.000
Pb: 0.097 0.903 0.500
Pb: 0.293 0.707 0.500
Pb: 0.404 0.596 0.000
Pb: 0.500 0.500 0.500
Pb: 0.596 0.404 0.000
Pb: 0.707 0.293 0.500
Pb: 0.903 0.097 0.500

Here is LaPrPb after structural relaxation from OQMD. Energies are from PBE-GGA.

Summary:
Its final energy is -4.2283 eV/atom.

abc: 5.425 5.425 5.425
angles: 60.00 60.00 60.00
Sites, in units of the cell vectors:
La: 0.000 0.000 0.000
Pr: 0.250 0.250 0.250
Pb: 0.750 0.750 0.750

Here is La2PrPt3Pb3 after structural relaxation from OQMD. Energies are from PBE-GGA.

Summary:
Its final energy is -5.7511 eV/atom.

abc: 4.195 7.867 7.867
angles: 120.00 90.00 90.00
Sites, in units of the cell vectors:
La: 0.000 0.205 0.795
La: 0.000 0.795 0.205
Pr: 0.000 0.614 0.614
Pt: 0.000 0.206 0.206
Pt: 0.500 0.539 0.873
Pt: 0.500 0.873 0.539
Pb: 0.500 0.207 0.460
Pb: 0.500 0.460 0.207
Pb: 0.500 0.950 0.950

Here is LaPr2Sn2Pb5 after structural relaxation from OQMD. Energies are from PBE-GGA.

Summary:
Its final energy is -4.6170 eV/atom.

abc: 13.365 13.365 4.820
angles: 90.00 90.00 159.65
Sites, in units of the cell vectors:
La: 0.000 0.000 0.000
Pr: 0.189 0.811 0.000
Pr: 0.811 0.189 0.000
Sn: 0.290 0.710 0.500
Sn: 0.710 0.290 0.500
Pb: 0.098 0.902 0.500
Pb: 0.403 0.597 0.000
Pb: 0.500 0.500 0.500
Pb: 0.597 0.403 0.000
Pb: 0.902 0.098 0.500

Here is LaPr2Sn5Pb2 after structural relaxation from OQMD. Energies are from PBE-GGA.

Summary:
Its final energy is -4.7669 eV/atom.

abc: 13.215 13.215 4.789
angles: 90.00 90.00 159.83
Sites, in units of the cell vectors:
La: 0.000 0.000 0.000
Pr: 0.187 0.813 0.000
Pr: 0.813 0.187 0.000
Sn: 0.290 0.710 0.500
Sn: 0.405 0.595 0.000
Sn: 0.500 0.500 0.500
Sn: 0.595 0.405 0.000
Sn: 0.710 0.290 0.500
Pb: 0.097 0.903 0.500
Pb: 0.903 0.097 0.500

Here is LaPr2Sn3Pb4 after structural relaxation from OQMD. Energies are from PBE-GGA.

Summary:
Its final energy is -4.6643 eV/atom.

abc: 13.297 13.297 4.797
angles: 90.00 90.00 159.64
Sites, in units of the cell vectors:
La: 0.000 0.000 0.000
Pr: 0.189 0.811 0.000
Pr: 0.811 0.189 0.000
Sn: 0.290 0.710 0.500
Sn: 0.500 0.500 0.500
Sn: 0.710 0.290 0.500
Pb: 0.097 0.903 0.500
Pb: 0.404 0.596 0.000
Pb: 0.596 0.404 0.000
Pb: 0.903 0.097 0.500

Here is La4RePb2 after structural relaxation from OQMD. Energies are from PBE-GGA.

Summary:
Its final energy is -5.6383 eV/atom.

abc: 6.801 6.801 6.801
angles: 108.00 108.00 112.45
Sites, in units of the cell vectors:
La: 0.240 0.240 0.481
La: 0.240 0.760 0.000
La: 0.760 0.240 0.000
La: 0.760 0.760 0.519
Re: 0.000 0.000 0.000
Pb: 0.250 0.750 0.500
Pb: 0.750 0.250 0.500

Here is LaSmPb2 after structural relaxation from OQMD. Energies are from PBE-GGA.

Summary:
Its final energy is -4.8333 eV/atom.

abc: 4.536 6.450 6.450
angles: 42.86 90.00 90.00
Sites, in units of the cell vectors:
La: 0.000 0.000 0.000
Sm: 0.500 0.736 0.736
Pb: 0.000 0.271 0.271
Pb: 0.500 0.464 0.464

Here is LaSmPb after structural relaxation from OQMD. Energies are from PBE-GGA.

Summary:
The energy relative to the lowest polymorph listed for this composition comes out at 0 meV/atom. Its final energy is -4.2647 eV/atom.

abc: 5.314 5.314 5.314
angles: 60.00 60.00 60.00
Sites, in units of the cell vectors:
La: 0.000 0.000 0.000
Sm: 0.250 0.250 0.250
Pb: 0.500 0.500 0.500

Here is La2TbSn5Pb2 after structural relaxation from OQMD. Energies are from PBE-GGA.

Summary:
The energy relative to the lowest polymorph listed for this composition comes out at 10 meV/atom. Its final energy is -4.7393 eV/atom.

abc: 13.215 13.215 4.710
angles: 90.00 90.00 159.74
Sites, in units of the cell vectors:
La: 0.182 0.818 0.000
La: 0.818 0.182 0.000
Tb: 0.000 0.000 0.000
Sn: 0.092 0.908 0.500
Sn: 0.409 0.591 0.000
Sn: 0.500 0.500 0.500
Sn: 0.591 0.409 0.000
Sn: 0.908 0.092 0.500
Pb: 0.293 0.707 0.500
Pb: 0.707 0.293 0.500

Here is LaTb2SnPb6 after structural relaxation from OQMD. Energies are from PBE-GGA.

Summary:
Its final energy is -4.4716 eV/atom.

abc: 13.150 13.150 4.748
angles: 90.00 90.00 159.33
Sites, in units of the cell vectors:
La: 0.000 0.000 0.000
Tb: 0.189 0.811 0.000
Tb: 0.811 0.189 0.000
Sn: 0.500 0.500 0.500
Pb: 0.099 0.901 0.500
Pb: 0.294 0.706 0.500
Pb: 0.402 0.598 0.000
Pb: 0.598 0.402 0.000
Pb: 0.706 0.294 0.500
Pb: 0.901 0.099 0.500

Here is La2TbSn2Pb5 after structural relaxation from OQMD. Energies are from PBE-GGA.

Summary:
The energy relative to the lowest polymorph listed for this composition comes out at 10 meV/atom. Its final energy is -4.5850 eV/atom.

abc: 13.342 13.342 4.802
angles: 90.00 90.00 159.88
Sites, in units of the cell vectors:
La: 0.185 0.815 0.000
La: 0.815 0.185 0.000
Tb: 0.000 0.000 0.000
Sn: 0.408 0.592 0.000
Sn: 0.592 0.408 0.000
Pb: 0.094 0.906 0.500
Pb: 0.292 0.708 0.500
Pb: 0.500 0.500 0.500
Pb: 0.708 0.292 0.500
Pb: 0.906 0.094 0.500